No. 1
KRbVO3: optimized geometry, PBE with a Hubbard U.

Results
E_tot in eV/atom: -5.8292
Space-group type: No. 12

Cell: 6.5230 6.5230 8.8447 Å, 117.93 117.93 72.29°
With the nearest neighbours (Å) after each atom.
Atoms (fractional coordinates):
K (0.2301, 0.7699, 0.0000)  4 O 2.65-2.68
K (0.7699, 0.2301, 0.0000)  4 O 2.65-2.68
Rb (0.3139, 0.3139, 0.4816)  5 O 2.84-3.09
Rb (0.6861, 0.6861, 0.5184)  5 O 2.84-3.09
V (0.1151, 0.1151, 0.6874)  3 O 1.72-1.73
V (0.8849, 0.8849, 0.3126)  3 O 1.72-1.73
O (0.0137, 0.0137, 0.7863)  1 V 1.73
O (0.0273, 0.4001, 0.7060)  1 V 1.72
O (0.4001, 0.0273, 0.7060)  1 V 1.72
O (0.5999, 0.9727, 0.2940)  1 V 1.72
O (0.9727, 0.5999, 0.2940)  1 V 1.72
O (0.9863, 0.9863, 0.2137)  1 V 1.73


No. 2
KRb3V2O8: optimized geometry, PBE with a Hubbard U.

Results
E_tot in eV/atom: -5.8830
Space-group type: No. 164

Cell: 6.3823 6.3823 8.2370 Å, 90.00 90.00 120.00°
With the nearest neighbours (Å) after each atom.
Atoms (fractional coordinates):
K (0.0000, 0.0000, 0.0000)  6 O 2.68
Rb (0.0000, 0.0000, 0.5000)  6 O 3.15
Rb (0.3333, 0.6667, 0.1723)  1 O 2.75
Rb (0.6667, 0.3333, 0.8277)  1 O 2.75
V (0.3333, 0.6667, 0.7178)  4 O 1.74
V (0.6667, 0.3333, 0.2822)  4 O 1.74
O (0.1856, 0.3711, 0.7908)  1 V 1.74
O (0.1856, 0.8144, 0.7908)  1 V 1.74
O (0.3333, 0.6667, 0.5065)  1 V 1.74
O (0.3711, 0.1856, 0.2092)  1 V 1.74
O (0.6289, 0.8144, 0.7908)  1 V 1.74
O (0.6667, 0.3333, 0.4935)  1 V 1.74
O (0.8144, 0.1856, 0.2092)  1 V 1.74
O (0.8144, 0.6289, 0.2092)  1 V 1.74


No. 3
K2RbWO4: optimized geometry, PBE with a Hubbard U.

Results
E_tot in eV/atom: -5.5030
Space-group type: No. 121

Cell: 6.0156 6.0156 11.4479 Å, 90.00 90.00 90.00°
With the nearest neighbours (Å) after each atom.
Atoms (fractional coordinates):
K (0.0000, 0.5000, 0.2500)  4 O 2.85
K (0.0000, 0.5000, 0.7500)  4 O 2.85
K (0.5000, 0.0000, 0.2500)  4 O 2.85
K (0.5000, 0.0000, 0.7500)  4 O 2.85
Rb (0.0000, 0.0000, 0.0000)  4 O 2.97
Rb (0.5000, 0.5000, 0.5000)  4 O 2.97
W (0.0000, 0.0000, 0.5000)  4 O 1.83
W (0.5000, 0.5000, 0.0000)  4 O 1.83
O (0.1743, 0.1743, 0.5941)  1 W 1.83
O (0.1743, 0.8257, 0.4059)  1 W 1.83
O (0.3257, 0.3257, 0.0941)  1 W 1.83
O (0.3257, 0.6743, 0.9059)  1 W 1.83
O (0.6743, 0.3257, 0.9059)  1 W 1.83
O (0.6743, 0.6743, 0.0941)  1 W 1.83
O (0.8257, 0.1743, 0.4059)  1 W 1.83
O (0.8257, 0.8257, 0.5941)  1 W 1.83


No. 4
KRbWO4: optimized geometry, PBE with a Hubbard U.

Results
E_tot in eV/atom: -6.1798
Space-group type: No. 11

Cell: 6.6208 6.7897 7.6465 Å, 90.00 108.71 90.00°
With the nearest neighbours (Å) after each atom.
Atoms (fractional coordinates):
K (0.1735, 0.2500, 0.0222)  4 O 2.68-2.88
K (0.8265, 0.7500, 0.9778)  4 O 2.68-2.88
Rb (0.2958, 0.2500, 0.5640)  4 O 2.87-3.04
Rb (0.7042, 0.7500, 0.4360)  4 O 2.87-3.04
W (0.2697, 0.7500, 0.8144)  4 O 1.81-1.82
W (0.7303, 0.2500, 0.1856)  4 O 1.81-1.82
O (0.0948, 0.5352, 0.7663)  1 W 1.82
O (0.0948, 0.9648, 0.7663)  1 W 1.82
O (0.4289, 0.7500, 0.0567)  1 W 1.81
O (0.4485, 0.7500, 0.6767)  1 W 1.82
O (0.5515, 0.2500, 0.3233)  1 W 1.82
O (0.5711, 0.2500, 0.9433)  1 W 1.81
O (0.9052, 0.0352, 0.2337)  1 W 1.82
O (0.9052, 0.4648, 0.2337)  1 W 1.82


No. 5
K4RbW3O12: optimized geometry, PBE with a Hubbard U.

Results
E_tot in eV/atom: -6.0513
Space-group type: No. 229

Cell: 7.2844 7.2844 7.2844 Å, 109.47 109.47 109.47°
With the nearest neighbours (Å) after each atom.
Atoms (fractional coordinates):
K (0.0000, 0.0000, 0.5000)  12 O 2.97-2.99
K (0.0000, 0.5000, 0.0000)  12 O 2.97-2.99
K (0.5000, 0.0000, 0.0000)  12 O 2.97-2.99
K (0.5000, 0.5000, 0.5000)  12 O 2.97-2.99
Rb (0.0000, 0.0000, 0.0000)  6 O 2.39
W (0.0000, 0.5000, 0.5000)  2 O 1.82
W (0.5000, 0.0000, 0.5000)  2 O 1.82
W (0.5000, 0.5000, 0.0000)  2 O 1.82
O (0.0000, 0.2840, 0.2840)  1 W 1.82
O (0.0000, 0.7160, 0.7160)  1 W 1.82
O (0.2500, 0.5000, 0.7500)  2 W 2.10
O (0.2500, 0.7500, 0.5000)  2 W 2.10
O (0.2840, 0.0000, 0.2840)  1 W 1.82
O (0.2840, 0.2840, 0.0000)  1 W 1.82
O (0.5000, 0.2500, 0.7500)  2 W 2.10
O (0.5000, 0.7500, 0.2500)  2 W 2.10
O (0.7160, 0.0000, 0.7160)  1 W 1.82
O (0.7160, 0.7160, 0.0000)  1 W 1.82
O (0.7500, 0.2500, 0.5000)  2 W 2.10
O (0.7500, 0.5000, 0.2500)  2 W 2.10


- Which value of E_tot does entry 3 give?
  -5.5030 eV/atom


- E_tot of number 1 (KRbVO3)?
  -5.8292 eV/atom